No. 1
NaMoAu: relaxed, GGA-PBE.

Cell lengths 4.893, 4.893, 10.888 Å; angles 90.00, 90.00, 120.00 degrees
Site moments in Bohr magnetons follow the coordinates.
Fractional coordinates of all 6 atoms:
Na (0.333, 0.667, 0.250)  0.00
Au (0.000, 0.000, 0.750)  0.14
Au (0.000, 0.000, 0.250)  0.14
Na (0.667, 0.333, 0.750)  0.00
Mo (0.000, 0.000, 0.000)  3.67
Mo (0.000, 0.000, 0.500)  3.68

Output
VASP energy ... -21.86 eV for the cell shown
Magnetization ... 5.02 μB/f.u.
Space group ... No. 194
Calculated volume ... 226 Å³ per cell
Energy relative to the elements ... 34.56 kcal/mol of atoms

***

No. 2
PrSmScSn: relaxed, GGA-PBE.

Cell lengths 5.440, 5.440, 5.440 Å; angles 60.00, 60.00, 60.00 degrees
Fractional coordinates of all 4 atoms:
Pr (0.750, 0.750, 0.750)
Sm (0.250, 0.250, 0.250)
Sc (0.000, 0.000, 0.000)
Sn (0.500, 0.500, 0.500)

Output
VASP energy ... -20.87 eV for the cell shown
Magnetization ... 0.02 μB/f.u.
Space group ... No. 216
Calculated volume ... 114 Å³ per cell
Energy relative to the elements ... -5.97 kcal/mol of atoms

***

No. 3
DyPuSN: relaxed, GGA-PBE.

Cell lengths 3.647, 3.647, 6.615 Å; angles 74.00, 74.00, 60.00 degrees
Site moments in Bohr magnetons follow the coordinates.
Fractional coordinates of all 4 atoms:
S (0.751, 0.751, 0.747)  -0.06
Pu (0.987, 0.987, 0.038)  5.12
Dy (0.512, 0.512, 0.463)  0.10
N (0.249, 0.249, 0.253)  -0.11

Output
VASP energy ... -38.01 eV for the cell shown
Magnetization ... 5.38 μB/f.u.
Space group ... No. 160
Calculated volume ... 72 Å³ per cell
Raw formation energy ... -1655 meV per atom

***

No. 4
ZrV2Co: relaxed, GGA-PBE.

Cell lengths 4.334, 4.334, 4.334 Å; angles 60.00, 60.00, 60.00 degrees
Fractional coordinates of all 4 atoms:
Co (0.000, 0.000, 0.000)
V (0.250, 0.250, 0.250)
Zr (0.500, 0.500, 0.500)
V (0.750, 0.750, 0.750)

Output
VASP energy ... -33.28 eV for the cell shown
Magnetization ... 0.00 μB/f.u.
Space group ... No. 225
Calculated volume ... 58 Å³ per cell
Energy relative to the elements ... 3.51 kcal/mol of atoms

***

No. 5
LiNiSe2N: relaxed, GGA-PBE.

Cell lengths 5.090, 5.090, 3.359 Å; angles 90.00, 90.00, 90.00 degrees
Fractional coordinates of all 5 atoms:
Se (0.000, 0.500, 0.000)
Ni (0.000, 0.000, 0.000)
Se (0.500, 0.000, 0.000)
N (0.000, 0.000, 0.500)
Li (0.500, 0.500, 0.500)

Output
VASP energy ... -22.15 eV for the cell shown
Magnetization ... 0.00 μB/f.u.
Space group ... No. 123
Calculated volume ... 87 Å³ per cell
Raw formation energy ... 167 meV per atom

***

No. 6
Nd4MgCo2: relaxed, GGA-PBE.

Cell lengths 7.392, 7.406, 9.292 Å; angles 125.08, 107.14, 84.78 degrees
Fractional coordinates of all 14 atoms:
Mg (0.107, 0.602, 0.478)
Nd (0.359, 0.623, 0.226)
Co (0.622, 0.358, 0.730)
Nd (0.390, 0.684, 0.880)
Nd (0.856, 0.616, 0.728)
Nd (0.448, 0.242, 0.378)
Nd (0.868, 0.109, 0.234)
Co (0.723, 0.518, 0.373)
Nd (0.366, 0.118, 0.726)
Mg (0.127, 0.121, 0.977)
Nd (0.829, 0.500, 0.083)
Co (0.102, 0.400, 0.872)
Co (0.623, 0.858, 0.231)
Nd (0.829, 0.002, 0.584)

Output
VASP energy ... -69.30 eV for the cell shown
Magnetization ... 0.00 μB/f.u.
Space group ... No. 1
Calculated volume ... 396 Å³ per cell
Energy relative to the elements ... 0.75 kcal/mol of atoms

***

No. 7
Mn3ReSi: relaxed, GGA-PBE.

Cell lengths 4.075, 4.075, 4.075 Å; angles 90.00, 90.00, 90.00 degrees
Site moments in Bohr magnetons follow the coordinates.
Fractional coordinates of all 5 atoms:
Mn (0.500, 0.000, 0.000)  0.42
Mn (0.000, 0.500, 0.000)  0.62
Mn (0.000, 0.000, 0.500)  0.81
Si (0.000, 0.000, 0.000)  -0.04
Re (0.500, 0.500, 0.500)  -0.83

Output
VASP energy ... -40.25 eV for the cell shown
Magnetization ... 0.89 μB/f.u.
Space group ... No. 221
Calculated volume ... 68 Å³ per cell
Raw formation energy ... 1026 meV per atom

***

No. 8
BaSr2Li: relaxed, GGA-PBE.

Cell lengths 6.123, 4.224, 8.078 Å; angles 74.78, 90.00, 90.00 degrees
Fractional coordinates of all 4 atoms:
Sr (0.000, 0.579, 0.520)
Li (0.500, 0.750, 0.750)
Sr (0.000, 0.921, 0.980)
Ba (0.500, 0.250, 0.250)

Output
VASP energy ... -6.84 eV for the cell shown
Magnetization ... 0.00 μB/f.u.
Space group ... No. 10
Calculated volume ... 202 Å³ per cell
Energy relative to the elements ... 2.06 kcal/mol of atoms